# KLa2In | Alexandria via LeMat-Bulk | PBE | optimized geometry
data_KLa2In
_chemical_formula_sum 'K1 La2 In1'
_space_group_name_H-M_alt 'P 1'
_space_group_IT_number 1
_cell_length_a 6.1535
_cell_length_b 6.1535
_cell_length_c 6.8263
_cell_angle_alpha 83.25
_cell_angle_beta 83.25
_cell_angle_gamma 34.28
loop_
_space_group_symop_operation_xyz
'x,y,z'
loop_
_atom_site_label
_atom_site_fract_x
_atom_site_fract_y
_atom_site_fract_z
_atom_site_occupancy
La1 0.0147 0.0147 0.9494 1
La2 0.4853 0.4853 0.5506 1
K1 0.2500 0.2500 0.2500 1
In1 0.7500 0.7500 0.7500 1
# Space group   C2/m
# DFT formation energy   0.018 eV/atom

---

# KLa2In2 | Alexandria via LeMat-Bulk | PBE | optimized geometry
data_KLa2In2
_chemical_formula_sum 'K1 La2 In2'
_space_group_name_H-M_alt 'P 1'
_space_group_IT_number 1
_cell_length_a 5.0965
_cell_length_b 5.0965
_cell_length_c 8.1328
_cell_angle_alpha 71.74
_cell_angle_beta 71.74
_cell_angle_gamma 90.00
loop_
_space_group_symop_operation_xyz
'x,y,z'
loop_
_atom_site_label
_atom_site_fract_x
_atom_site_fract_y
_atom_site_fract_z
_atom_site_occupancy
La1 0.7500 0.2500 0.5000 1
La2 0.2500 0.7500 0.5000 1
In1 0.5988 0.5988 0.8024 1
In2 0.4012 0.4012 0.1976 1
K1 0.0000 0.0000 0.0000 1
# Space group   I4/mmm
# DFT formation energy   -0.046 eV/atom

---

# K2LaIn | Alexandria via LeMat-Bulk | PBE | optimized geometry
data_K2LaIn
_chemical_formula_sum 'K4 La2 In2'
_space_group_name_H-M_alt 'P 1'
_space_group_IT_number 1
_cell_length_a 10.6817
_cell_length_b 10.6817
_cell_length_c 8.2338
_cell_angle_alpha 49.56
_cell_angle_beta 49.56
_cell_angle_gamma 90.00
loop_
_space_group_symop_operation_xyz
'x,y,z'
loop_
_atom_site_label
_atom_site_fract_x
_atom_site_fract_y
_atom_site_fract_z
_atom_site_occupancy
La1 0.0000 0.0000 0.0000 1
La2 0.7500 0.2500 0.5000 1
K1 0.1841 0.6250 0.2500 1
K2 0.8750 0.8159 0.7500 1
K3 0.3750 0.4341 0.7500 1
K4 0.5659 0.1250 0.2500 1
In1 0.5000 0.5000 0.0000 1
In2 0.2500 0.7500 0.5000 1
# Space group   I-42d
# DFT formation energy   0.348 eV/atom

---

# K2LaIn | Alexandria via LeMat-Bulk | PBE | optimized geometry
data_K2LaIn
_chemical_formula_sum 'K2 La1 In1'
_space_group_name_H-M_alt 'P 1'
_space_group_IT_number 1
_cell_length_a 3.5244
_cell_length_b 6.4688
_cell_length_c 7.1963
_cell_angle_alpha 90.00
_cell_angle_beta 90.00
_cell_angle_gamma 90.00
loop_
_space_group_symop_operation_xyz
'x,y,z'
loop_
_atom_site_label
_atom_site_fract_x
_atom_site_fract_y
_atom_site_fract_z
_atom_site_occupancy
K1 0.0000 0.0000 0.5169 1
K2 0.0000 0.0000 0.9831 1
La1 0.5000 0.5000 0.2500 1
In1 0.5000 0.5000 0.7500 1
# Space group   Pmmm
# DFT formation energy   0.257 eV/atom

---

# K2LaIn | Alexandria via LeMat-Bulk | PBE | optimized geometry
data_K2LaIn
_chemical_formula_sum 'K2 La1 In1'
_space_group_name_H-M_alt 'P 1'
_space_group_IT_number 1
_cell_length_a 3.5899
_cell_length_b 3.5899
_cell_length_c 13.0548
_cell_angle_alpha 90.00
_cell_angle_beta 90.00
_cell_angle_gamma 90.00
loop_
_space_group_symop_operation_xyz
'x,y,z'
loop_
_atom_site_label
_atom_site_fract_x
_atom_site_fract_y
_atom_site_fract_z
_atom_site_occupancy
K1 0.0000 0.0000 0.5311 1
K2 0.0000 0.0000 0.9689 1
In1 0.5000 0.5000 0.7500 1
La1 0.5000 0.5000 0.2500 1
# Space group   P4/mmm
# DFT formation energy   0.277 eV/atom

---

# KLa2In | Alexandria via LeMat-Bulk | PBE | optimized geometry
data_KLa2In
_chemical_formula_sum 'K1 La2 In1'
_space_group_name_H-M_alt 'P 1'
_space_group_IT_number 1
_cell_length_a 4.8804
_cell_length_b 5.3339
_cell_length_c 5.3339
_cell_angle_alpha 90.00
_cell_angle_beta 90.00
_cell_angle_gamma 90.00
loop_
_space_group_symop_operation_xyz
'x,y,z'
loop_
_atom_site_label
_atom_site_fract_x
_atom_site_fract_y
_atom_site_fract_z
_atom_site_occupancy
In1 0.5000 0.5000 0.0000 1
La1 0.0000 0.0000 0.0000 1
La2 0.0000 0.5000 0.5000 1
K1 0.5000 0.0000 0.5000 1
# Space group   P4/mmm
# DFT formation energy   0.065 eV/atom